No. 1
DFT (PBE) results for a geometry-optimized LiBrN2O structure.

Lattice parameters (Å, degrees): 3.871 3.871 4.124 90.00 90.00 90.00
Element x y z (fractional)
Li: 0.500 0.500 0.500
O: 0.000 0.000 0.500
Br: 0.000 0.000 0.000
N: 0.000 0.500 0.000
N: 0.500 0.000 0.000

Results
Formation energy from raw total energies   1.59 eV per atom
Crystal system   tetragonal

=====

No. 2
DFT (PBE) results for a geometry-optimized LiBrNO2 structure.

Lattice parameters (Å, degrees): 4.039 4.039 3.749 90.00 90.00 90.00
Element x y z (fractional)
Li: 0.500 0.500 0.500
O: 0.000 0.500 0.000
O: 0.500 0.000 0.000
Br: 0.000 0.000 0.000
N: 0.000 0.000 0.500

Results
Formation energy from raw total energies   0.81 eV per atom
Crystal system   tetragonal

=====

No. 3
DFT (PBE) results for a geometry-optimized LiPd2BrN structure.

Lattice parameters (Å, degrees): 4.609 3.482 4.609 90.00 90.00 90.00
Element x y z (fractional)
Li: 0.000 0.000 0.000
Br: 0.500 0.500 0.500
Pd: 0.000 0.000 0.500
Pd: 0.500 0.000 0.000
N: 0.000 0.500 0.000

Results
Formation energy from raw total energies   0.89 eV per atom
Crystal system   tetragonal

=====

No. 4
DFT (PBE) results for a geometry-optimized LiPmBrN structure.

Lattice parameters (Å, degrees): 3.806 3.807 7.037 74.37 74.35 60.01
Element x y z (fractional)
Li: 0.464 0.727 0.296
Pm: 0.930 0.192 0.899
Br: 0.729 0.992 0.503
N: 0.561 0.824 0.005

Results
Formation energy from raw total energies   -1.31 eV per atom
Crystal system   monoclinic

=====

No. 5
DFT (PBE) results for a geometry-optimized LiPr2Br2N2 structure.

Lattice parameters (Å, degrees): 3.970 3.970 10.099 101.34 101.34 90.00
Element x y z (fractional)
Li: 0.000 0.000 0.000
Pr: 0.419 0.419 0.838
Pr: 0.581 0.581 0.162
Br: 0.163 0.163 0.326
Br: 0.837 0.837 0.674
N: 0.000 0.500 0.000
N: 0.500 0.000 0.000

Results
Formation energy from raw total energies   -1.22 eV per atom
Crystal system   tetragonal

=====

No. 6
DFT (PBE) results for a geometry-optimized LiPu2Br2N2 structure.

Lattice parameters (Å, degrees): 3.876 3.876 11.971 90.00 90.00 120.00
Element x y z (fractional)
Li: 0.000 0.000 0.000
Pu: 0.667 0.333 0.387
Pu: 0.333 0.667 0.613
Br: 0.000 0.000 0.806
Br: 0.000 0.000 0.194
N: 0.667 0.333 0.573
N: 0.333 0.667 0.427

Results
Formation energy from raw total energies   -1.33 eV per atom
Crystal system   trigonal

=====

No. 7
DFT (PBE) results for a geometry-optimized Li2RuBrN structure.

Lattice parameters (Å, degrees): 4.268 3.833 4.268 90.00 90.00 90.00
Element x y z (fractional)
Ru: 0.000 0.500 0.000
Li: 0.000 0.000 0.500
Li: 0.500 0.000 0.000
Br: 0.500 0.500 0.500
N: 0.000 0.000 0.000

Results
Formation energy from raw total energies   -0.34 eV per atom
Crystal system   tetragonal

=====

No. 8
DFT (PBE) results for a geometry-optimized LiS2BrN structure.

Lattice parameters (Å, degrees): 4.714 4.714 3.603 90.00 90.00 90.00
Element x y z (fractional)
S: 0.000 0.500 0.000
S: 0.500 0.000 0.000
Li: 0.000 0.000 0.000
Br: 0.500 0.500 0.500
N: 0.000 0.000 0.500

Results
Polymorph energy (0 for the lowest one)   0.964 eV per atom
Formation energy from raw total energies   1.35 eV per atom
Crystal system   tetragonal

=====

Uncorrected energy? In order: -3.45 -3.56 -3.57 -5.47 -5.72 -8.55 -4.96 -2.68 eV/atom.